DFT (PBE) results for an optimized crystal structure of K5Br.

* DOS at the Fermi energy: 0.533 states/eV per atom
* space group: Cm, No. 8
* formation energy from raw total energies: -0.518 eV per atom
* crystal system: monoclinic

Structure (CIF):
```
data_K5Br
_space_group_name_H-M_alt 'P 1'
_space_group_IT_number 1
_cell_length_a 11.014
_cell_length_b 11.014
_cell_length_c 7.926
_cell_angle_alpha 104.75
_cell_angle_beta 104.75
_cell_angle_gamma 24.06
loop_
_space_group_symop_operation_xyz
'x,y,z'
loop_
_atom_site_label
_atom_site_type_symbol
_atom_site_fract_x
_atom_site_fract_y
_atom_site_fract_z
_atom_site_occupancy
K1 K 0.000 0.000 0.000 1
K2 K 0.295 0.295 0.794 1
K3 K 0.588 0.588 0.588 1
K4 K 0.696 0.696 0.193 1
K5 K 0.896 0.896 0.406 1
Br1 Br 0.146 0.146 0.890 1
```